! AlSnAsRh | Alexandria | PBE | optimized geometry; values from VASP
! Fermi-level density of states: 0.37 states/eV/atom
! E_form: -279 meV/atom
! Energy: -20.9 eV/f.u.
! Relative energy among the computed polymorphs: 46 meV per atom
! V: 19.16 Å³ per atom
! Symmetry: Amm2 (38)
! ρ: 7.008 g/cm3
&SYSTEM
  ibrav = 0, nat = 4, ntyp = 4
/
ATOMIC_SPECIES
Al 26.98 Al.upf
Sn 118.71 Sn.upf
As 74.92 As.upf
Rh 102.91 Rh.upf
CELL_PARAMETERS angstrom
3.775 0.000 0.000
0.000 1.781 5.702
0.000 -1.781 5.702
ATOMIC_POSITIONS crystal
Al 0.000 0.000 0.000
Sn 0.000 0.751 0.751
As 0.500 0.481 0.481
Rh 0.500 0.149 0.149

***

! AlSnAsRh | Alexandria | PBE | optimized geometry; values from VASP
! Fermi-level density of states: 0.39 states/eV/atom
! E_form: -242 meV/atom
! Energy: -20.7 eV/f.u.
! Relative energy among the computed polymorphs: 82 meV per atom
! V: 19.67 Å³ per atom
! Symmetry: P1 (1)
! ρ: 6.828 g/cm3
&SYSTEM
  ibrav = 0, nat = 4, ntyp = 4
/
ATOMIC_SPECIES
Al 26.98 Al.upf
Sn 118.71 Sn.upf
As 74.92 As.upf
Rh 102.91 Rh.upf
CELL_PARAMETERS angstrom
3.849 0.000 0.000
-1.920 4.064 0.000
-1.894 -1.108 5.030
ATOMIC_POSITIONS crystal
Al 0.000 0.000 0.000
Sn 0.913 0.508 0.319
As 0.421 0.153 0.684
Rh 0.240 0.583 0.894

***

! AlSnAsRh | Alexandria | PBE | optimized geometry; values from VASP
! Fermi-level density of states: 0.46 states/eV/atom
! E_form: -264 meV/atom
! Energy: -20.8 eV/f.u.
! Relative energy among the computed polymorphs: 60 meV per atom
! V: 18.62 Å³ per atom
! Symmetry: Amm2 (38)
! ρ: 7.213 g/cm3
&SYSTEM
  ibrav = 0, nat = 4, ntyp = 4
/
ATOMIC_SPECIES
Al 26.98 Al.upf
Sn 118.71 Sn.upf
As 74.92 As.upf
Rh 102.91 Rh.upf
CELL_PARAMETERS angstrom
3.037 0.000 0.000
0.000 2.192 5.593
0.000 -2.192 5.593
ATOMIC_POSITIONS crystal
Al 0.000 0.000 0.000
Sn 0.000 0.737 0.737
As 0.500 0.415 0.415
Rh 0.500 0.184 0.184

***

! AlSnAsRh | Alexandria | PBE | optimized geometry; values from VASP
! Fermi-level density of states: 0.46 states/eV/atom
! E_form: -279 meV/atom
! Energy: -20.9 eV/f.u.
! Relative energy among the computed polymorphs: 46 meV per atom
! V: 20.13 Å³ per atom
! Symmetry: Imm2 (44)
! ρ: 6.672 g/cm3
&SYSTEM
  ibrav = 0, nat = 4, ntyp = 4
/
ATOMIC_SPECIES
Al 26.98 Al.upf
Sn 118.71 Sn.upf
As 74.92 As.upf
Rh 102.91 Rh.upf
CELL_PARAMETERS angstrom
-1.743 1.816 6.358
1.743 -1.816 6.358
1.743 1.816 -6.358
ATOMIC_POSITIONS crystal
Al 0.000 0.000 0.000
Sn 0.296 0.296 0.000
As 0.696 0.696 0.000
Rh 0.502 0.502 0.000

***

! AlSnAsRh | Alexandria | PBE | optimized geometry; values from VASP
! Fermi-level density of states: 0.28 states/eV/atom
! E_form: -325 meV/atom
! Energy: -21.0 eV/f.u.
! Relative energy among the computed polymorphs: 0 meV per atom
! V: 20.41 Å³ per atom
! Symmetry: Cm (8)
! ρ: 6.581 g/cm3
&SYSTEM
  ibrav = 0, nat = 4, ntyp = 4
/
ATOMIC_SPECIES
Al 26.98 Al.upf
Sn 118.71 Sn.upf
As 74.92 As.upf
Rh 102.91 Rh.upf
CELL_PARAMETERS angstrom
4.276 -2.045 0.000
4.276 2.045 0.000
-0.279 0.000 4.668
ATOMIC_POSITIONS crystal
Al 0.000 0.000 0.000
Sn 0.319 0.319 0.378
As 0.730 0.730 0.749
Rh 0.610 0.610 0.227

***

! AlSnAsRh | Alexandria | PBE | optimized geometry; values from VASP
! Fermi-level density of states: 0.47 states/eV/atom
! E_form: -294 meV/atom
! Energy: -20.9 eV/f.u.
! Relative energy among the computed polymorphs: 31 meV per atom
! V: 18.76 Å³ per atom
! Symmetry: Pm (6)
! ρ: 7.157 g/cm3
&SYSTEM
  ibrav = 0, nat = 4, ntyp = 4
/
ATOMIC_SPECIES
Al 26.98 Al.upf
Sn 118.71 Sn.upf
As 74.92 As.upf
Rh 102.91 Rh.upf
CELL_PARAMETERS angstrom
2.979 0.000 0.000
0.000 3.429 0.000
-1.474 0.000 7.347
ATOMIC_POSITIONS crystal
Al 0.000 0.000 0.000
Sn 0.792 0.000 0.583
As 0.606 0.500 0.213
Rh 0.417 0.500 0.833